No. 1
Below is an optimized crystal structure of Pm6Ge3PS2, with properties calculated at the PBE level.

Structure (POSCAR):
```
Pm6Ge3PS2
1.0
9.159 -2.065 0.000
9.159 2.065 0.000
-2.176 0.000 8.141
Pm Ge P S
6 3 1 2
Direct
0.002 0.002 0.243 Pm
0.332 0.332 0.420 Pm
0.335 0.335 0.915 Pm
0.665 0.665 0.085 Pm
0.668 0.668 0.580 Pm
0.998 0.998 0.757 Pm
0.167 0.167 0.832 Ge
0.500 0.500 0.500 Ge
0.833 0.833 0.168 Ge
0.500 0.500 0.000 P
0.167 0.167 0.334 S
0.833 0.833 0.666 S
```

Values from the calculation:
Formation energy (no corrections)   -1.351 eV per atom


No. 2
Below is an optimized crystal structure of ThMg2Ge2, with properties calculated at the PBE level.

Structure (POSCAR):
```
ThMg2Ge2
1.0
-2.116 2.116 6.057
2.116 -2.116 6.057
2.116 2.116 -6.057
Th Mg Ge
1 2 2
Direct
0.000 0.000 0.000 Th
0.250 0.750 0.500 Mg
0.750 0.250 0.500 Mg
0.394 0.394 0.000 Ge
0.606 0.606 0.000 Ge
```

Values from the calculation:
DFT formation energy   -463.1 meV/atom


No. 3
Below is an optimized crystal structure of ZnSnGePb, with properties calculated at the PBE level.

Structure (POSCAR):
```
ZnSnGePb
1.0
0.000 3.638 3.638
3.638 0.000 3.638
3.638 3.638 0.000
Zn Sn Ge Pb
1 1 1 1
Direct
0.000 0.000 0.000 Zn
0.250 0.250 0.250 Sn
0.500 0.500 0.500 Ge
0.750 0.750 0.750 Pb
```

Values from the calculation:
DFT formation energy   229.0 meV/atom


No. 4
Below is an optimized crystal structure of Cu2SiMo, with properties calculated at the PBE level.

Structure (POSCAR):
```
Cu2SiMo
1.0
1.843 -1.847 0.000
1.843 1.847 0.000
0.000 0.000 7.879
Cu Si Mo
2 1 1
Direct
0.000 0.000 0.235 Cu
0.000 0.000 0.765 Cu
0.500 0.500 0.000 Si
0.500 0.500 0.500 Mo
```

Values from the calculation:
Formation energy (no corrections)   0.174 eV per atom


No. 5
Below is an optimized crystal structure of LaPmRu, with properties calculated at the PBE level.

Structure (POSCAR):
```
LaPmRu
1.0
0.000 3.493 3.493
3.493 0.000 3.493
3.493 3.493 0.000
La Pm Ru
1 1 1
Direct
0.000 0.000 0.000 La
0.500 0.500 0.500 Pm
0.750 0.750 0.750 Ru
```

Values from the calculation:
DFT formation energy   -185.1 meV/atom
Energy above the lowest structure with this stoichiometry   0.052 eV per atom


No. 6
Below is an optimized crystal structure of Ti2CdPt2, with properties calculated at the PBE level.

Structure (POSCAR):
```
Ti2CdPt2
1.0
-2.159 2.159 5.186
2.159 -2.159 5.186
2.159 2.159 -5.186
Ti Cd Pt
2 1 2
Direct
0.250 0.750 0.500 Ti
0.750 0.250 0.500 Ti
0.000 0.000 0.000 Cd
0.376 0.376 0.000 Pt
0.624 0.624 0.000 Pt
```

Values from the calculation:
DFT formation energy   -588.4 meV/atom


No. 7
Below is an optimized crystal structure of KLiTa3, with properties calculated at the PBE level.

Structure (POSCAR):
```
KLiTa3
1.0
4.698 0.000 0.000
0.000 4.698 0.000
0.000 0.000 4.698
K Li Ta
1 1 3
Direct
0.000 0.000 0.000 K
0.500 0.500 0.500 Li
0.000 0.500 0.500 Ta
0.500 0.000 0.500 Ta
0.500 0.500 0.000 Ta
```

Values from the calculation:
DFT formation energy   1906.6 meV/atom
Energy above the lowest structure with this stoichiometry   0.000 eV per atom


No. 8
Below is an optimized crystal structure of CaMg2Sc, with properties calculated at the PBE level.

Structure (POSCAR):
```
CaMg2Sc
1.0
-1.771 2.754 5.547
1.771 -2.754 5.547
1.771 2.754 -5.547
Ca Mg Sc
1 2 1
Direct
0.000 0.000 0.000 Ca
0.519 0.519 0.000 Mg
0.740 0.240 0.500 Mg
0.282 0.782 0.500 Sc
```

Values from the calculation:
DFT formation energy   48.1 meV/atom


No. 9
Below is an optimized crystal structure of ZrInNi2, with properties calculated at the PBE level.

Structure (POSCAR):
```
ZrInNi2
1.0
3.222 0.000 0.000
0.000 3.222 0.000
0.000 0.000 6.369
Zr In Ni
1 1 2
Direct
0.000 0.000 0.000 Zr
0.500 0.500 0.356 In
0.000 0.000 0.588 Ni
0.500 0.500 0.781 Ni
```

Values from the calculation:
DFT formation energy   -181.1 meV/atom


No. 10
Below is an optimized crystal structure of Pr2ZrIr, with properties calculated at the PBE level.

Structure (POSCAR):
```
Pr2ZrIr
1.0
1.842 1.063 10.353
-1.842 1.063 10.353
0.000 -2.126 10.353
Pr Zr Ir
2 1 1
Direct
0.106 0.106 0.106 Pr
0.894 0.894 0.894 Pr
0.000 0.000 0.000 Zr
0.500 0.500 0.500 Ir
```

Values from the calculation:
DFT formation energy   282.3 meV/atom


No. 11
Below is an optimized crystal structure of VCd3Hg, with properties calculated at the PBE level.

Structure (POSCAR):
```
VCd3Hg
1.0
5.458 0.000 0.000
0.000 5.458 0.000
0.000 0.000 5.458
V Cd Hg
1 3 1
Direct
0.000 0.000 0.000 V
0.000 0.000 0.500 Cd
0.000 0.500 0.000 Cd
0.500 0.000 0.000 Cd
0.500 0.500 0.500 Hg
```

Values from the calculation:
DFT formation energy   639.7 meV/atom


No. 12
Below is an optimized crystal structure of CaY2NiN, with properties calculated at the PBE level.

Structure (POSCAR):
```
CaY2NiN
1.0
4.718 0.000 0.000
0.000 4.718 0.000
0.000 0.000 4.786
Ca Y Ni N
1 2 1 1
Direct
0.000 0.000 0.000 Ca
0.000 0.500 0.500 Y
0.500 0.000 0.500 Y
0.500 0.500 0.000 Ni
0.000 0.000 0.500 N
```

Values from the calculation:
Formation energy (no corrections)   -0.528 eV per atom


No. 13
Below is an optimized crystal structure of CuIrS2, with properties calculated at the PBE level.

Structure (POSCAR):
```
CuIrS2
1.0
5.505 0.000 0.000
0.000 3.753 0.000
-4.905 0.000 12.081
Cu Ir S
4 4 8
Direct
0.184 0.005 0.266 Cu
0.184 0.495 0.766 Cu
0.816 0.505 0.234 Cu
0.816 0.995 0.734 Cu
0.298 0.741 0.480 Ir
0.298 0.759 0.980 Ir
0.702 0.241 0.020 Ir
0.702 0.259 0.520 Ir
0.000 0.230 0.411 S
0.000 0.270 0.911 S
0.000 0.730 0.089 S
0.000 0.770 0.589 S
0.447 0.503 0.347 S
0.447 0.997 0.847 S
0.553 0.003 0.153 S
0.553 0.497 0.653 S
```

Values from the calculation:
Formation energy (no corrections)   -0.001 eV per atom


No. 14
Below is an optimized crystal structure of Dy2BeRh, with properties calculated at the PBE level.

Structure (POSCAR):
```
Dy2BeRh
1.0
1.934 1.116 9.078
-1.934 1.116 9.078
0.000 -2.233 9.078
Dy Be Rh
2 1 1
Direct
0.109 0.109 0.109 Dy
0.891 0.891 0.891 Dy
0.000 0.000 0.000 Be
0.500 0.500 0.500 Rh
```

Values from the calculation:
DFT formation energy   324.0 meV/atom
Energy above the lowest structure with this stoichiometry   0.704 eV per atom


No. 15
Below is an optimized crystal structure of LiHgBr2, with properties calculated at the PBE level.

Structure (POSCAR):
```
LiHgBr2
1.0
4.344 0.000 0.000
0.000 6.414 0.000
-1.012 0.000 4.349
Li Hg Br
1 1 2
Direct
0.000 0.000 0.000 Li
0.513 0.500 0.433 Hg
0.010 0.500 0.936 Br
0.597 0.000 0.331 Br
```

Values from the calculation:
Formation energy (no corrections)   -0.800 eV per atom
Energy above the lowest structure with this stoichiometry   0.000 eV per atom


No. 16
Below is an optimized crystal structure of TaGa4Tc, with properties calculated at the PBE level.

Structure (POSCAR):
```
TaGa4Tc
1.0
4.594 0.000 0.000
0.000 4.594 0.000
0.000 0.000 5.475
Ta Ga Tc
1 4 1
Direct
0.000 0.000 0.000 Ta
0.000 0.500 0.255 Ga
0.000 0.500 0.745 Ga
0.500 0.000 0.255 Ga
0.500 0.000 0.745 Ga
0.000 0.000 0.500 Tc
```

Values from the calculation:
DFT formation energy   -136.0 meV/atom


No. 17
Below is an optimized crystal structure of GdDyPaSn, with properties calculated at the PBE level.

Structure (POSCAR):
```
GdDyPaSn
1.0
0.000 3.781 3.781
3.781 0.000 3.781
3.781 3.781 0.000
Gd Dy Pa Sn
1 1 1 1
Direct
0.000 0.000 0.000 Gd
0.500 0.500 0.500 Dy
0.250 0.250 0.250 Pa
0.750 0.750 0.750 Sn
```

Values from the calculation:
DFT formation energy   7.0 meV/atom


No. 18
Below is an optimized crystal structure of HfTiGa3, with properties calculated at the PBE level.

Structure (POSCAR):
```
HfTiGa3
1.0
4.737 0.000 0.000
0.000 4.737 0.000
0.000 0.000 4.737
Hf Ti Ga
1 1 3
Direct
0.000 0.000 0.000 Hf
0.500 0.500 0.500 Ti
0.000 0.500 0.500 Ga
0.500 0.000 0.500 Ga
0.500 0.500 0.000 Ga
```

Values from the calculation:
DFT formation energy   475.1 meV/atom
Energy above the lowest structure with this stoichiometry   0.746 eV per atom


No. 19
Below is an optimized crystal structure of TaNiPd, with properties calculated at the PBE level.

Structure (POSCAR):
```
TaNiPd
1.0
0.000 5.271 6.740
2.831 0.000 6.740
2.831 5.271 0.000
Ta Ni Pd
4 4 4
Direct
0.000 0.000 0.000 Ta
0.000 0.000 0.500 Ta
0.000 0.500 0.000 Ta
0.500 0.000 0.000 Ta
0.162 0.588 0.162 Ni
0.412 0.838 0.412 Ni
0.588 0.162 0.588 Ni
0.838 0.412 0.838 Ni
0.279 0.279 0.471 Pd
0.471 0.471 0.279 Pd
0.529 0.529 0.721 Pd
0.721 0.721 0.529 Pd
```

Values from the calculation:
DFT formation energy   372.9 meV/atom
Energy above the lowest structure with this stoichiometry   0.742 eV per atom


No. 20
Below is an optimized crystal structure of Li3GaHg6, with properties calculated at the PBE level.

Structure (POSCAR):
```
Li3GaHg6
1.0
5.243 -5.359 0.000
5.243 5.359 0.000
0.000 0.000 7.922
Li Ga Hg
6 2 12
Direct
0.018 0.982 0.500 Li
0.191 0.469 0.982 Li
0.469 0.191 0.482 Li
0.531 0.809 0.982 Li
0.809 0.531 0.482 Li
0.982 0.018 0.000 Li
0.299 0.701 0.549 Ga
0.701 0.299 0.049 Ga
0.018 0.295 0.272 Hg
0.147 0.353 0.623 Hg
0.213 0.787 0.210 Hg
0.295 0.018 0.772 Hg
0.353 0.147 0.123 Hg
0.487 0.513 0.281 Hg
0.513 0.487 0.781 Hg
0.647 0.853 0.623 Hg
0.705 0.982 0.272 Hg
0.787 0.213 0.710 Hg
0.853 0.647 0.123 Hg
0.982 0.705 0.772 Hg
```

Values from the calculation:
DFT formation energy   -163.7 meV/atom
Energy above the lowest structure with this stoichiometry   0.050 eV per atom


Number 1: D(E_F) 5.8 states/eV/f.u.. Number 2: D(E_F) 2.2 states/eV/f.u.. Number 3: D(E_F) 3.9 states/eV/f.u.. Number 4: D(E_F) 1.7 states/eV/f.u.. Number 5: D(E_F) 2.0 states/eV/f.u.. Number 6: D(E_F) 0.1 states/eV/f.u.. Number 7: D(E_F) 8.3 states/eV/f.u.. Number 8: D(E_F) 4.3 states/eV/f.u.. Number 9: D(E_F) 4.0 states/eV/f.u.. Number 10: D(E_F) 5.5 states/eV/f.u.. Number 11: D(E_F) 2.6 states/eV/f.u.. Number 12: D(E_F) 4.5 states/eV/f.u.. Number 13: D(E_F) 1.0 states/eV/f.u.. Number 14: D(E_F) 3.2 states/eV/f.u.. Number 15: D(E_F) 0.7 states/eV/f.u.. Number 16: D(E_F) 2.2 states/eV/f.u.. Number 17: D(E_F) 7.7 states/eV/f.u.. Number 18: D(E_F) 4.0 states/eV/f.u.. Number 19: D(E_F) 3.0 states/eV/f.u.. Number 20: D(E_F) 2.5 states/eV/f.u..